No. 1
The following is a GGA+U calculation of an optimized crystal structure of NaMoNO2, from Alexandria via LeMat-Bulk.

abc: 3.9519 3.9519 3.9264
angles: 90.00 90.00 90.00
Element x y z (fractional)
O 0.0000 0.5000 0.0000
O 0.5000 0.0000 0.0000
Mo 0.0000 0.0000 0.0000
Na 0.5000 0.5000 0.5000
N 0.0000 0.0000 0.5000

Output
**Space-group type**: No. 123
**Final energy**: -6.31 eV/atom

=====

No. 2
The following is a GGA+U calculation of an optimized crystal structure of NaMoN2O, from Alexandria via LeMat-Bulk.

abc: 4.0077 4.0077 3.9836
angles: 90.00 90.00 90.00
Each line ends with the local moment (μB).
Element x y z (fractional)
Na 0.0000 0.0000 0.0000  0.07
N 0.0000 0.5000 0.0000  -0.04
N 0.5000 0.0000 0.0000  -0.04
O 0.0000 0.0000 0.5000  -0.18
Mo 0.5000 0.5000 0.5000  3.13

Output
**Space-group type**: No. 123
**Final energy**: -4.08 eV/atom

=====

No. 3
The following is a GGA+U calculation of an optimized crystal structure of NaMoN2O, from Alexandria via LeMat-Bulk.

abc: 3.9685 3.9685 3.9904
angles: 90.00 90.00 90.00
Each line ends with the local moment (μB).
Element x y z (fractional)
O 0.0000 0.0000 0.5000  0.14
N 0.5000 0.0000 0.0000  0.22
N 0.0000 0.5000 0.0000  0.22
Mo 0.0000 0.0000 0.0000  -0.39
Na 0.5000 0.5000 0.5000  0.00

Output
**Space-group type**: No. 123
**Final energy**: -6.18 eV/atom